# 1
# Y12TlNi6 (PBE, optimized geometry)
# Volume in Å³ per atom: 24.43
# Crystal system: cubic
# Electronic total energy in eV/atom: -6.382
data_Y12TlNi6
_symmetry_space_group_name_H-M 'I m -3'
_symmetry_Int_Tables_number 204
_symmetry_space_group_name_Hall '-I 2 2 3'
_cell_length_a 9.7557
_cell_length_b 9.7557
_cell_length_c 9.7557
_cell_angle_alpha 90.00
_cell_angle_beta 90.00
_cell_angle_gamma 90.00
loop_
_atom_site_label
_atom_site_fract_x
_atom_site_fract_y
_atom_site_fract_z
Y1 0.0000 0.3028 0.1876
Tl1 0.0000 0.0000 0.0000
Ni1 0.0000 0.1221 0.5000

=====

# 2
# Mo2NCl (PBE, optimized geometry)
# Volume in Å³ per atom: 12.18
# Offset from the most stable computed form in kJ/mol of formula units: 253
# Crystal system: cubic
data_Mo2NCl
_symmetry_space_group_name_H-M 'F m -3 m'
_symmetry_Int_Tables_number 225
_symmetry_space_group_name_Hall '-F 4 2 3'
_cell_length_a 5.7972
_cell_length_b 5.7972
_cell_length_c 5.7972
_cell_angle_alpha 90.00
_cell_angle_beta 90.00
_cell_angle_gamma 90.00
loop_
_atom_site_label
_atom_site_fract_x
_atom_site_fract_y
_atom_site_fract_z
Mo1 0.2500 0.2500 0.2500
N1 0.0000 0.0000 0.0000
Cl1 0.0000 0.0000 0.5000

=====

Values of DOS(E_F), in order: 21.66; 3.19, all in states/eV/f.u..